No. 1
VASP calculation (PBE) on an optimized crystal structure of Np2SnRh.

Properties
**Space group**: P4/mmm, No. 123
**Total DFT energy (no corrections)**: -37.7 eV per cell
**E_form**: -122.0 meV/atom
**D(E_F)**: 11.19 states/eV/f.u.

Cell: 3.907 3.907 5.746 Å, 90.00 90.00 90.00°
Fractional coordinates of all 4 atoms:
Np 0.000 0.000 0.771
Np 0.000 0.000 0.229
Rh 0.500 0.500 0.000
Sn 0.500 0.500 0.500

=====

No. 2
VASP calculation (PBE) on an optimized crystal structure of MgZr2Zn16.

Properties
**Space group**: R3m, No. 160
**Total DFT energy (no corrections)**: -41.5 eV per cell
**E_form**: -129.7 meV/atom
**D(E_F)**: 5.91 states/eV/f.u.

Cell: 6.710 6.710 6.710 Å, 82.92 82.92 82.92°
Fractional coordinates of all 19 atoms:
Zn 0.643 0.643 0.158
Zn 0.001 0.495 0.001
Zn 0.495 0.001 0.001
Zn 0.001 0.001 0.495
Zn 0.643 0.158 0.643
Zn 0.303 0.696 0.999
Zn 0.830 0.357 0.357
Zn 0.158 0.643 0.643
Zn 0.696 0.303 0.999
Zn 0.357 0.830 0.357
Zn 0.113 0.113 0.113
Zn 0.999 0.696 0.303
Zn 0.357 0.357 0.830
Zn 0.999 0.303 0.696
Zn 0.696 0.999 0.303
Zn 0.303 0.999 0.696
Zr 0.340 0.340 0.340
Zr 0.660 0.660 0.660
Mg 0.905 0.905 0.905

=====

No. 3
VASP calculation (PBE) on an optimized crystal structure of Dy2Ni4P3Pd.

Properties
**Space group**: P-4m2, No. 115
**Total DFT energy (no corrections)**: -62.5 eV per cell
**E_form**: -870.9 meV/atom
**D(E_F)**: 7.97 states/eV/f.u.

Cell: 3.906 3.906 9.696 Å, 90.00 90.00 90.00°
Fractional coordinates of all 10 atoms:
Ni 0.000 0.500 0.351
Ni 0.500 0.000 0.649
Ni 0.500 0.500 0.000
Ni 0.000 0.000 0.000
P 0.000 0.500 0.127
P 0.500 0.000 0.873
P 0.000 0.000 0.500
Dy 0.500 0.000 0.244
Dy 0.000 0.500 0.756
Pd 0.500 0.500 0.500

=====

No. 4
VASP calculation (PBE) on an optimized crystal structure of Tm3MgFe8.

Properties
**Space group**: R3m, No. 160
**Total DFT energy (no corrections)**: -83.8 eV per cell
**E_form**: -94.5 meV/atom
**D(E_F)**: 14.87 states/eV/f.u.

Cell: 5.042 5.042 8.723 Å, 73.20 73.20 60.00°
Fractional coordinates of all 12 atoms:
Fe 0.938 0.938 0.685
Fe 0.938 0.439 0.685
Fe 0.439 0.938 0.685
Fe 0.688 0.688 0.936
Fe 0.436 0.938 0.190
Fe 0.436 0.436 0.190
Fe 0.938 0.436 0.190
Fe 0.187 0.187 0.439
Tm 0.376 0.376 0.873
Tm 0.997 0.997 0.008
Tm 0.502 0.502 0.493
Mg 0.874 0.874 0.378

=====

No. 5
VASP calculation (PBE) on an optimized crystal structure of K2PaPbSe4.

Properties
**Space group**: P2/m, No. 10
**Total DFT energy (no corrections)**: -38.9 eV per cell
**ΔE_f (raw)**: -1.1970 eV/atom
**D(E_F)**: 5.52 states/eV/f.u.

Cell: 4.345 7.658 8.011 Å, 107.76 90.00 90.00°
Fractional coordinates of all 8 atoms:
Pa 0.500 0.500 0.000
K 0.000 0.500 0.500
K 0.500 0.000 0.500
Se 0.500 0.262 0.212
Se 0.000 0.719 0.207
Se 0.500 0.738 0.788
Se 0.000 0.281 0.793
Pb 0.000 0.000 0.000

=====

No. 6
VASP calculation (PBE) on an optimized crystal structure of K4Pa3TiSe8.

Properties
**Space group**: R-3m, No. 166
**Total DFT energy (no corrections)**: -89.3 eV per cell
**ΔE_f (raw)**: -1.2889 eV/atom
**D(E_F)**: 16.59 states/eV/f.u.

Cell: 8.193 9.169 8.193 Å, 116.55 120.00 90.00°
Fractional coordinates of all 16 atoms:
Se 0.228 0.705 0.456
Se 0.261 0.284 0.522
Se 0.772 0.295 0.544
Se 0.772 0.295 0.023
Se 0.228 0.705 0.977
Se 0.251 0.295 0.023
Se 0.749 0.705 0.977
Se 0.739 0.716 0.478
Pa 0.000 0.500 0.500
Pa 0.500 0.500 0.500
Pa 0.500 0.500 0.000
K 0.000 0.000 0.000
K 0.500 0.000 0.500
K 0.500 0.000 0.000
K 0.000 0.000 0.500
Ti 0.000 0.500 0.000

=====

No. 7
VASP calculation (PBE) on an optimized crystal structure of ErCo3Si.

Properties
**Space group**: Cmcm, No. 63
**Total DFT energy (no corrections)**: -62.9 eV per cell
**ΔE_f (raw)**: -0.0287 eV/atom
**D(E_F)**: 4.79 states/eV/f.u.

Cell: 4.387 8.749 8.749 Å, 150.13 90.00 90.00°
Fractional coordinates of all 10 atoms:
Co 0.750 0.515 0.969
Co 0.500 0.000 0.000
Co 0.750 0.031 0.485
Co 0.250 0.485 0.031
Co 0.250 0.969 0.515
Co 0.000 0.000 0.000
Si 0.250 0.115 0.885
Si 0.750 0.885 0.115
Er 0.250 0.398 0.602
Er 0.750 0.602 0.398

=====

No. 8
VASP calculation (PBE) on an optimized crystal structure of Co2CuOs.

Properties
**Polymorph energy (0 for the lowest one)**: 0 meV/atom
**Space group**: P4/mmm, No. 123
**Total DFT energy (no corrections)**: -28.9 eV per cell
**E_form**: 156.7 meV/atom
**D(E_F)**: 3.88 states/eV/f.u.

Cell: 2.620 2.620 6.927 Å, 90.00 90.00 90.00°
Fractional coordinates of all 4 atoms:
Co 0.000 0.000 0.000
Co 0.000 0.000 0.500
Os 0.500 0.500 0.750
Cu 0.500 0.500 0.250

=====

No. 9
VASP calculation (PBE) on an optimized crystal structure of CsCa2SbBr8.

Properties
**Space group**: P-1, No. 2
**Total DFT energy (no corrections)**: -39.7 eV per cell
**ΔE_f (raw)**: -1.4478 eV/atom
**D(E_F)**: 0.00 states/eV/f.u.

Cell: 7.084 6.856 9.346 Å, 89.89 89.93 89.13°
Fractional coordinates of all 12 atoms:
Ca 0.500 0.500 0.749
Ca 0.500 0.500 0.251
Br 0.405 0.268 0.500
Br 0.162 0.745 0.205
Br 0.668 0.747 0.000
Br 0.332 0.253 0.000
Br 0.837 0.253 0.205
Br 0.163 0.747 0.795
Br 0.838 0.255 0.795
Br 0.595 0.732 0.500
Sb 0.000 0.000 0.000
Cs 0.000 0.000 0.500

=====

No. 10
VASP calculation (PBE) on an optimized crystal structure of ZnCd4Ga.

Properties
**Polymorph energy (0 for the lowest one)**: 17 meV/atom
**Space group**: C2/m, No. 12
**Total DFT energy (no corrections)**: -15.1 eV per cell
**E_form**: 64.7 meV/atom
**D(E_F)**: 2.11 states/eV/f.u.

Cell: 4.966 8.746 8.281 Å, 121.88 114.44 90.00°
Fractional coordinates of all 12 atoms:
Zn 0.753 0.502 0.004
Zn 0.247 0.498 0.996
Ga 0.949 0.825 0.649
Ga 0.051 0.175 0.351
Cd 0.696 0.289 0.578
Cd 0.304 0.711 0.422
Cd 0.678 0.409 0.283
Cd 0.678 0.874 0.283
Cd 0.322 0.591 0.717
Cd 0.000 0.812 0.000
Cd 0.322 0.126 0.717
Cd 0.000 0.188 0.000

=====

No. 11
VASP calculation (PBE) on an optimized crystal structure of CoRuCl2.

Properties
**Polymorph energy (0 for the lowest one)**: 216 meV/atom
**Space group**: P4mm, No. 99
**Total DFT energy (no corrections)**: -19.1 eV per cell
**ΔE_f (raw)**: 0.2453 eV/atom
**D(E_F)**: 2.29 states/eV/f.u.

Cell: 2.936 2.936 8.129 Å, 90.00 90.00 90.00°
Fractional coordinates of all 4 atoms:
Co 0.000 0.000 0.530
Cl 0.000 0.000 0.911
Cl 0.500 0.500 0.352
Ru 0.500 0.500 0.707

=====

No. 12
VASP calculation (PBE) on an optimized crystal structure of CaAc2Si.

Properties
**Polymorph energy (0 for the lowest one)**: 83 meV/atom
**Space group**: P4/mmm, No. 123
**Total DFT energy (no corrections)**: -16.3 eV per cell
**ΔE_f (raw)**: -0.1647 eV/atom
**D(E_F)**: 4.84 states/eV/f.u.

Cell: 3.996 3.996 9.248 Å, 90.00 90.00 90.00°
Fractional coordinates of all 4 atoms:
Ac 0.000 0.000 0.821
Ac 0.000 0.000 0.179
Ca 0.500 0.500 0.500
Si 0.500 0.500 0.000